The following is a PBE-GGA calculation of a relaxed structure of TlRhPb2, from Alexandria.

Summary:
Energy relative to the elements, eV per atom: 0.09
Uncorrected energy, hartree per atom: -0.1541

Cell: 3.3650 3.3650 8.7440 Å, 90.00 90.00 90.00°
Fractional positions:
Pb1 0.0000 0.0000 0.9894
Pb2 0.5000 0.5000 0.3077
Tl1 0.5000 0.5000 0.6976
Rh1 0.0000 0.0000 0.5053